# 1
A plane-wave DFT calculation with GGA-PBE was carried out for crystalline ZnMo2Se at its relaxed geometry.

Output
excess energy over the best structure of this formula in the dataset	0.383	eV per atom
raw formation energy	0.484	eV per atom
space-group type	No. 65

Cell: 2.8118 2.8118 8.6463 Å, 90.00 90.00 109.98°
Positions (direct):
Zn 0.0000 0.0000 0.0000
Mo 0.5000 0.5000 0.2540
Mo 0.5000 0.5000 0.7460
Se 0.0000 0.0000 0.5000

---

# 2
A plane-wave DFT calculation with GGA-PBE was carried out for crystalline ReHg2Mo at its relaxed geometry.

Output
excess energy over the best structure of this formula in the dataset	0.375	eV per atom
space-group type	No. 12

Cell: 5.1011 5.1011 5.0503 Å, 99.50 99.50 33.40°
Positions (direct):
Re 0.0000 0.0000 0.0000
Hg 0.2506 0.2506 0.7506
Hg 0.7494 0.7494 0.2494
Mo 0.5000 0.5000 0.5000

---

# 3
A plane-wave DFT calculation with GGA-PBE was carried out for crystalline KNdO at its relaxed geometry.

Output
raw formation energy	-0.973	eV per atom
space-group type	No. 38

Cell: 14.9173 3.5401 3.5401 Å, 60.28 90.00 90.00°
Positions (direct):
K 0.1037 0.0000 0.0000
K 0.8963 0.0000 0.0000
Nd 0.3909 0.5579 0.5579
Nd 0.6091 0.5579 0.5579
O 0.0000 0.6654 0.6654
O 0.5000 0.8901 0.8901

---

# 4
A plane-wave DFT calculation with GGA-PBE was carried out for crystalline TbEuNiHg at its relaxed geometry.

Output
space-group type	No. 216

Cell: 5.1490 5.1490 5.1490 Å, 60.00 60.00 60.00°
Positions (direct):
Tb 0.0000 0.0000 0.0000
Eu 0.5000 0.5000 0.5000
Ni 0.7500 0.7500 0.7500
Hg 0.2500 0.2500 0.2500

---

# 5
A plane-wave DFT calculation with GGA-PBE was carried out for crystalline BaAl3H at its relaxed geometry.

Output
excess energy over the best structure of this formula in the dataset	1.468	eV per atom
space-group type	No. 221

Cell: 6.3921 6.3921 6.3921 Å, 90.00 90.00 90.00°
Positions (direct):
Ba 0.0000 0.0000 0.0000
Al 0.0000 0.0000 0.5000
Al 0.0000 0.5000 0.0000
Al 0.5000 0.0000 0.0000
H 0.5000 0.5000 0.5000

---

# 6
A plane-wave DFT calculation with GGA-PBE was carried out for crystalline Zr2AlCrPd at its relaxed geometry.

Output
space-group type	No. 123

Cell: 4.7140 4.7140 4.7073 Å, 90.00 90.00 90.00°
Positions (direct):
Zr 0.0000 0.5000 0.0000
Zr 0.5000 0.0000 0.0000
Al 0.0000 0.0000 0.5000
Cr 0.5000 0.5000 0.0000
Pd 0.5000 0.5000 0.5000

---

# 7
A plane-wave DFT calculation with GGA-PBE was carried out for crystalline ThFe2GeC at its relaxed geometry.

Output
space-group type	No. 63

Cell: 5.7597 5.7597 6.8948 Å, 90.00 90.00 140.02°
Positions (direct):
Th 0.0579 0.9421 0.7500
Th 0.9421 0.0579 0.2500
Fe 0.3395 0.6605 0.5605
Fe 0.3395 0.6605 0.9395
Fe 0.6605 0.3395 0.0605
Fe 0.6605 0.3395 0.4395
Ge 0.2252 0.7748 0.2500
Ge 0.7748 0.2252 0.7500
C 0.5000 0.5000 0.0000
C 0.5000 0.5000 0.5000

---

# 8
A plane-wave DFT calculation with GGA-PBE was carried out for crystalline Np2CoGe3Pt4 at its relaxed geometry.

Output
space-group type	No. 115

Cell: 4.1143 4.1143 10.8345 Å, 90.00 90.00 90.00°
Positions (direct):
Np 0.0000 0.5000 0.2410
Np 0.5000 0.0000 0.7590
Co 0.5000 0.5000 0.0000
Ge 0.0000 0.0000 0.0000
Ge 0.0000 0.5000 0.6373
Ge 0.5000 0.0000 0.3627
Pt 0.0000 0.0000 0.5000
Pt 0.0000 0.5000 0.8623
Pt 0.5000 0.0000 0.1377
Pt 0.5000 0.5000 0.5000

---

Record-wise uncorrected energy values, in eV/atom: -6.121, -5.182, -4.581, -5.503, -1.519, -6.684, -8.037, -7.530